A plane-wave DFT calculation with PBE was carried out for crystalline Pm2SiI at its relaxed geometry.

Output
DOS at the Fermi energy	2.62	states/eV per cell
polymorph energy (0 for the lowest one)	0.020	eV/atom

The structure in extended XYZ format:
```
4
Lattice="-1.035 -3.417 2.322 2.354 -1.066 3.386 -4.082 2.965 6.451" Properties=species:S:1:pos:R:3 pbc="T T T"
I -1.400 -0.741 6.098
Si -3.187 -0.040 10.240
Pm -0.447 -0.620 2.795
Pm -3.193 2.087 5.556
```